(1)
A plane-wave DFT calculation with GGA-PBEsol was carried out for CsBi3Rh after structural relaxation.

Results
* ΔH_f (0 K): 2182.2 meV/atom
* symmetry: Pm-3m

Cell lengths 6.021, 6.021, 6.021 Å; angles 90.00, 90.00, 90.00 degrees
Last column: magnetic moment on the atom in μB.
Fractional positions:
Bi  0.500  0.000  0.000  0.00
Bi  0.000  0.500  0.000  0.00
Bi  0.000  0.000  0.500  0.00
Rh  0.500  0.500  0.500  1.19
Cs  0.000  0.000  0.000  0.01

(2)
A plane-wave DFT calculation with GGA-PBEsol was carried out for CrHgSbI2 after structural relaxation.

Results
* VASP energy: -2.868 eV/atom
* symmetry: P4/mmm

Cell lengths 5.516, 5.767, 5.767 Å; angles 90.00, 90.00, 90.00 degrees
Last column: magnetic moment on the atom in μB.
Fractional positions:
Hg  0.000  0.000  0.000  -0.01
I  0.000  0.500  0.000  -0.06
I  0.000  0.000  0.500  -0.06
Cr  0.500  0.500  0.500  4.30
Sb  0.500  0.000  0.000  -0.43

(3)
A plane-wave DFT calculation with GGA-PBEsol was carried out for Sr2MoS2 after structural relaxation.

Results
* VASP energy: -5.457 eV/atom
* symmetry: I4/mmm

Cell lengths 5.857, 6.168, 5.857 Å; angles 61.65, 90.00, 118.35 degrees
Last column: magnetic moment on the atom in μB.
Fractional positions:
S  0.737  0.474  0.263  0.03
S  0.263  0.526  0.737  0.03
Sr  0.750  0.500  0.750  0.03
Sr  0.250  0.500  0.250  0.03
Mo  0.000  0.000  0.000  3.10

(4)
A plane-wave DFT calculation with GGA-PBEsol was carried out for ReSb2Br after structural relaxation.

Results
* VASP energy: -5.211 eV/atom
* symmetry: Fm-3m

Cell lengths 4.908, 4.908, 4.908 Å; angles 60.00, 60.00, 60.00 degrees
Last column: magnetic moment on the atom in μB.
Fractional positions:
Sb  0.250  0.250  0.250  -0.03
Sb  0.750  0.750  0.750  -0.03
Br  0.000  0.000  0.000  0.12
Re  0.500  0.500  0.500  1.49

(5)
A plane-wave DFT calculation with GGA-PBEsol was carried out for TaAs2Ir after structural relaxation.

Results
* ΔH_f (0 K): -197.2 meV/atom
* symmetry: Cm

Cell lengths 3.384, 4.425, 4.727 Å; angles 105.71, 110.97, 90.00 degrees
Fractional positions:
As  0.755  0.303  0.510
As  0.998  0.935  0.995
Ir  0.487  0.449  0.974
Ta  0.261  0.813  0.521

(6)
A plane-wave DFT calculation with GGA-PBEsol was carried out for Ta2AgIr after structural relaxation.

Results
* ΔH_f (0 K): 98.4 meV/atom
* symmetry: C2/m

Cell lengths 2.879, 4.888, 4.954 Å; angles 101.06, 106.89, 90.00 degrees
Fractional positions:
Ag  0.500  0.000  0.000
Ir  0.000  0.500  0.000
Ta  0.257  0.258  0.514
Ta  0.743  0.742  0.486

(7)
A plane-wave DFT calculation with GGA-PBEsol was carried out for Cr2Re3 after structural relaxation.

Results
* ΔH_f (0 K): 62.5 meV/atom
* symmetry: P4_2/mnm

Cell lengths 4.905, 9.078, 9.078 Å; angles 90.00, 90.00, 90.00 degrees
Fractional positions:
Re  0.500  0.362  0.035
Re  0.000  0.862  0.465
Re  0.252  0.813  0.187
Re  0.500  0.638  0.965
Re  0.748  0.813  0.187
Re  0.252  0.187  0.813
Re  0.000  0.535  0.138
Re  0.500  0.965  0.638
Re  0.500  0.500  0.500
Re  0.000  0.000  0.000
Re  0.000  0.465  0.862
Re  0.248  0.313  0.313
Re  0.748  0.187  0.813
Re  0.000  0.138  0.535
Re  0.248  0.687  0.687
Re  0.752  0.687  0.687
Re  0.500  0.035  0.362
Re  0.752  0.313  0.313
Cr  0.000  0.744  0.935
Cr  0.500  0.903  0.903
Cr  0.000  0.935  0.744
Cr  0.500  0.097  0.097
Cr  0.000  0.597  0.403
Cr  0.000  0.256  0.065
Cr  0.500  0.756  0.435
Cr  0.000  0.403  0.597
Cr  0.000  0.065  0.256
Cr  0.500  0.435  0.756
Cr  0.500  0.244  0.565
Cr  0.500  0.565  0.244

(8)
A plane-wave DFT calculation with GGA-PBEsol was carried out for BeAl2Ni after structural relaxation.

Results
* ΔH_f (0 K): -207.0 meV/atom
* symmetry: P4mm

Cell lengths 3.004, 3.004, 5.298 Å; angles 90.00, 90.00, 90.00 degrees
Fractional positions:
Al  0.000  0.000  0.971
Al  0.500  0.500  0.278
Be  0.000  0.000  0.519
Ni  0.500  0.500  0.732